First-principles (PBE) data for a geometry-optimized CsBa2Ge2 structure, as listed in Alexandria via LeMat-Bulk.

Calculated values
Energy relative to the elements, eV/atom: -0.283

Lattice parameters (Å, degrees): 9.0852 9.0852 4.8685 90.00 90.00 90.00
With the nearest neighbours (Å) after each atom.
Space group P4/mbm (No. 127)
Symmetry-distinct sites (fractional):
Cs1 0.0000 0.0000 0.0000 (multiplicity 2)  4 Ge 3.76, 8 Ba 4.16
Ba1 0.1692 0.3308 0.5000 (multiplicity 4)  6 Ge 3.50-3.86
Ge1 0.0974 0.5974 0.0000 (multiplicity 4)  1 Ge 2.50


First-principles (PBE) data for a geometry-optimized CsBa2Ge2 structure, as listed in Alexandria via LeMat-Bulk.

Calculated values
Energy relative to the elements, eV/atom: -0.030

Lattice parameters (Å, degrees): 5.9245 5.9245 13.5021 90.00 90.00 90.00
With the nearest neighbours (Å) after each atom.
Space group I4/mmm (No. 139)
Symmetry-distinct sites (fractional):
Cs1 0.0000 0.0000 0.0000 (multiplicity 2)  8 Ge 4.49, 10 Ba 4.64-4.69
Ba1 0.0000 0.0000 0.3435 (multiplicity 4)  4 Ge 3.22
Ge1 0.0000 0.5000 0.2500 (multiplicity 4)  4 Ba 3.22


First-principles (PBE) data for a geometry-optimized CsBaGe4 structure, as listed in Alexandria via LeMat-Bulk.

Calculated values
Energy relative to the elements, eV/atom: -0.087

Lattice parameters (Å, degrees): 8.9218 15.6624 5.6236 90.00 90.00 90.00
With the nearest neighbours (Å) after each atom.
Space group Pbam (No. 55)
Symmetry-distinct sites (fractional):
Cs1 0.1377 0.0876 0.0000 (multiplicity 4)  10 Ge 3.53-3.62, 1 Cs 3.68
Ba1 0.1334 0.3531 0.0000 (multiplicity 4)  12 Ge 3.82-4.16, 2 Cs 4.16-4.20
Ge1 0.0046 0.2050 0.5000 (multiplicity 4)  3 Ge 2.48-2.67
Ge2 0.1125 0.9433 0.5000 (multiplicity 4)  3 Ge 2.55-2.68
Ge3 0.1340 0.5240 0.5000 (multiplicity 4)  3 Ge 2.51-2.61
Ge4 0.1984 0.6866 0.5000 (multiplicity 4)  3 Ge 2.48-2.67


First-principles (PBE) data for a geometry-optimized Cs2BaGe structure, as listed in Alexandria via LeMat-Bulk.

Calculated values
Energy relative to the elements, eV/atom: 0.275

Lattice parameters (Å, degrees): 8.9203 8.9203 8.9203 90.00 90.00 90.00
With the nearest neighbours (Å) after each atom.
Space group Fm-3m (No. 225)
Symmetry-distinct sites (fractional):
Cs1 0.2500 0.2500 0.2500 (multiplicity 8)  4 Ge 3.86, 4 Ba 3.86
Ba1 0.0000 0.0000 0.0000 (multiplicity 4)  8 Cs 3.86
Ge1 0.0000 0.0000 0.5000 (multiplicity 4)  8 Cs 3.86


First-principles (PBE) data for a geometry-optimized CsBa3Ge structure, as listed in Alexandria via LeMat-Bulk.

Calculated values
Energy relative to the elements, eV/atom: 0.871

Lattice parameters (Å, degrees): 6.3539 6.3539 6.3539 90.00 90.00 90.00
With the nearest neighbours (Å) after each atom.
Space group Pm-3m (No. 221)
Symmetry-distinct sites (fractional):
Cs1 0.0000 0.0000 0.0000 (multiplicity 1)  6 Ba 3.18
Ba1 0.0000 0.0000 0.5000 (multiplicity 3)  2 Cs 3.18
Ge1 0.5000 0.5000 0.5000 (multiplicity 1)  12 Ba 4.49


First-principles (PBE) data for a geometry-optimized Cs2BaGe structure, as listed in Alexandria via LeMat-Bulk.

Calculated values
Energy relative to the elements, eV/atom: 0.215

Lattice parameters (Å, degrees): 5.1852 5.1852 28.0648 90.00 90.00 90.00
With the nearest neighbours (Å) after each atom.
Space group I-42d (No. 122)
Symmetry-distinct sites (fractional):
Cs1 0.2426 0.2500 0.1250 (multiplicity 8)  4 Cs 3.61-3.72, 2 Ge 3.95, 2 Ba 3.97
Ba1 0.0000 0.0000 0.5000 (multiplicity 4)  4 Ge 3.67, 4 Cs 3.97
Ge1 0.0000 0.0000 0.0000 (multiplicity 4)  4 Ba 3.67, 4 Cs 3.95


First-principles (PBE) data for a geometry-optimized CsBaGe3 structure, as listed in Alexandria via LeMat-Bulk.

Calculated values
Energy relative to the elements, eV/atom: 0.815

Lattice parameters (Å, degrees): 6.0781 6.0781 6.0781 90.00 90.00 90.00
With the nearest neighbours (Å) after each atom.
Space group Pm-3m (No. 221)
Symmetry-distinct sites (fractional):
Cs1 0.0000 0.0000 0.0000 (multiplicity 1)  12 Ge 4.30
Ba1 0.5000 0.5000 0.5000 (multiplicity 1)  6 Ge 3.04
Ge1 0.0000 0.5000 0.5000 (multiplicity 3)  2 Ba 3.04


First-principles (PBE) data for a geometry-optimized CsBa2Ge2 structure, as listed in Alexandria via LeMat-Bulk.

Calculated values
Energy relative to the elements, eV/atom: -0.212

Lattice parameters (Å, degrees): 10.1637 10.1637 3.6395 90.00 90.00 90.00
With the nearest neighbours (Å) after each atom.
Space group P4/mbm (No. 127)
Symmetry-distinct sites (fractional):
Cs1 0.0000 0.0000 0.0000 (multiplicity 2)  2 Cs 3.64, 4 Ba 3.98
Ba1 0.1303 0.3697 0.0000 (multiplicity 4)  6 Ge 3.43-3.55, 3 Ba 3.64-3.75
Ge1 0.1675 0.6675 0.5000 (multiplicity 4)  6 Ba 3.43-3.55, 2 Ge 3.64


no.,DFT total energy (eV per cell),E above lowest polymorph (meV per atom)
1,-30.695,0
2,-28.168,253
3,-87.059,57
4,-28.596,60
5,-6.886,994
6,-29.551,0
7,-12.554,0
8,-29.985,71